Record 1
# CsBiTe2

A geometry-optimized CsBiTe2 structure (PBE, Alexandria).

Values from the calculation:
M_tot = 0.0 μB per formula unit
DOS(E_F) = 0.0000 states/eV/atom
space-group type = Pnma (62)
total energy = -53.27 eV/cell

```
CsBiTe2
1.0
7.715 0.000 0.000
0.000 4.593 0.000
0.000 0.000 22.256
Cs Te Bi
4 8 4
Cartesian
2.781 3.445 3.628
1.076 1.148 14.755
6.639 3.445 7.500
4.934 1.148 18.628
4.883 1.148 14.734
2.017 3.445 11.826
1.026 1.148 18.650
5.875 3.445 21.557
1.840 1.148 0.699
6.689 3.445 3.606
5.698 1.148 10.429
2.832 3.445 7.522
4.834 3.445 12.661
2.880 1.148 9.594
6.738 1.148 1.534
0.977 3.445 20.722
```

Record 2
# Cs5BiTe5

A geometry-optimized Cs5BiTe5 structure (PBE, Alexandria).

Values from the calculation:
M_tot = 0.0 μB per formula unit
DOS(E_F) = 0.3896 states/eV/atom
space-group type = Immm (71)
total energy = -31.27 eV/cell

```
Cs5BiTe5
1.0
6.587 0.000 0.000
-3.294 10.503 0.422
0.000 -3.320 7.254
Te Cs Bi
5 5 1
Cartesian
3.294 0.000 0.000
3.294 7.235 0.767
3.294 5.309 4.976
0.000 1.874 2.699
0.000 -0.052 6.908
3.294 3.388 1.552
0.000 -1.660 3.627
3.294 1.148 4.913
0.000 6.035 2.762
0.000 3.795 6.124
0.000 0.000 0.000
```

Record 3
# CsBiTe2

A geometry-optimized CsBiTe2 structure (PBE, Alexandria).

Values from the calculation:
M_tot = 0.0 μB per formula unit
DOS(E_F) = 1.1448 states/eV/atom
space-group type = Cmcm (63)
total energy = -22.63 eV/cell

```
CsBiTe2
1.0
3.117 -14.215 0.000
3.117 14.215 0.000
0.000 0.000 4.362
Te Bi Cs
4 2 2
Cartesian
3.117 -8.443 1.090
3.117 8.443 3.271
3.117 -6.015 3.271
3.117 6.015 1.090
3.117 -10.602 3.271
3.117 10.602 1.090
3.117 -2.459 3.271
3.117 2.459 1.090
```

Record 4
# Cs2Bi2Te

A geometry-optimized Cs2Bi2Te structure (PBE, Alexandria).

Values from the calculation:
M_tot = 0.0 μB per formula unit
DOS(E_F) = 0.8978 states/eV/atom
space-group type = P4/mbm (127)
total energy = -28.78 eV/cell

```
Cs2Bi2Te
1.0
-6.947 4.852 -0.264
-3.924 -5.330 5.298
2.103 3.276 4.854
Bi Cs Te
4 4 2
Cartesian
-5.997 -2.842 4.517
-2.351 -1.354 1.933
-8.520 0.875 3.101
-4.874 2.364 0.516
-2.835 -1.112 5.967
-6.881 0.537 6.607
-1.887 2.261 3.280
-5.932 3.909 3.920
0.000 0.000 0.000
-5.435 -0.239 2.517
```

Record 5
# CsBiTe2

A geometry-optimized CsBiTe2 structure (PBE, Alexandria).

Values from the calculation:
M_tot = 0.0 μB per formula unit
DOS(E_F) = 0.0000 states/eV/atom
space-group type = C2/c (15)
total energy = -26.67 eV/cell

```
CsBiTe2
1.0
-6.423 -4.760 1.263
-2.120 -3.176 -6.789
6.215 -4.504 -1.326
Bi Cs Te
2 2 4
Cartesian
1.710 -3.833 -0.760
-4.038 -8.607 -6.091
-0.237 -8.584 -2.634
-2.091 -3.856 -4.217
1.055 -5.899 -5.289
-0.962 -2.679 -0.629
-1.366 -9.761 -6.222
-3.384 -6.541 -1.562
```

Record 6
# CsBiTe2

A geometry-optimized CsBiTe2 structure (PBE, Alexandria).

Values from the calculation:
M_tot = 0.0 μB per formula unit
DOS(E_F) = 0.0000 states/eV/atom
space-group type = Cm (8)
total energy = -13.50 eV/cell

```
CsBiTe2
1.0
4.648 -0.002 0.001
2.329 4.026 0.000
-2.326 -1.342 9.003
Te Bi Cs
2 1 1
Cartesian
1.858 1.714 0.917
1.861 1.713 6.450
1.854 -0.971 8.181
4.188 0.368 3.709
```

Record 7
# Cs5Bi2Te4

A geometry-optimized Cs5Bi2Te4 structure (PBE, Alexandria).

Values from the calculation:
M_tot = 0.0 μB per formula unit
DOS(E_F) = 0.4786 states/eV/atom
space-group type = Immm (71)
total energy = -29.09 eV/cell

```
Cs5Bi2Te4
1.0
-6.071 1.664 0.081
-1.893 -7.026 2.447
5.245 6.686 11.213
Bi Te Cs
2 4 5
Cartesian
-3.403 -0.846 6.981
0.684 2.170 6.759
-1.292 -4.797 1.671
-3.674 -1.706 4.303
-0.601 -2.229 0.776
0.955 3.029 9.437
-3.035 0.832 0.040
-1.054 -4.107 5.425
-0.112 -0.612 4.208
-1.665 5.431 8.315
-2.607 1.936 9.532
```

Record 8
# CsBi2Te2

A geometry-optimized CsBi2Te2 structure (PBE, Alexandria).

Values from the calculation:
M_tot = 0.0 μB per formula unit
DOS(E_F) = 0.4679 states/eV/atom
space-group type = I4/mmm (139)
total energy = -16.03 eV/cell

```
CsBi2Te2
1.0
4.870 0.000 0.000
0.000 4.870 0.000
2.435 2.435 8.072
Cs Bi Te
1 2 2
Cartesian
0.000 0.000 0.000
2.435 4.870 4.036
4.870 2.435 4.036
2.435 2.435 1.515
4.870 4.870 6.557
```

Record 9
# CsBiTe2

A geometry-optimized CsBiTe2 structure (PBE, Alexandria).

Values from the calculation:
M_tot = 0.0 μB per formula unit
DOS(E_F) = 0.0000 states/eV/atom
space-group type = P-1 (2)
total energy = -26.89 eV/cell

```
CsBiTe2
1.0
10.887 0.003 0.004
-0.002 4.526 -0.001
0.887 2.260 7.186
Cs Bi Te
2 2 4
Cartesian
9.691 5.017 6.088
1.259 2.750 2.059
6.763 2.751 2.782
4.186 5.015 5.361
6.535 2.753 5.710
2.103 2.751 5.845
4.414 5.013 2.433
8.847 5.015 2.302
```

Record 10
# CsBi2Te2

A geometry-optimized CsBi2Te2 structure (PBE, Alexandria).

Values from the calculation:
M_tot = 0.0 μB per formula unit
DOS(E_F) = 0.2491 states/eV/atom
space-group type = P4/mbm (127)
total energy = -32.00 eV/cell

```
CsBi2Te2
1.0
9.967 0.000 0.000
0.000 9.967 0.000
0.000 0.000 4.141
Bi Cs Te
4 2 4
Cartesian
8.027 3.044 2.070
3.044 1.940 2.070
6.923 8.027 2.070
1.940 6.923 2.070
0.000 0.000 0.000
4.984 4.984 0.000
6.534 1.551 0.000
1.551 3.433 0.000
8.416 6.534 0.000
3.433 8.416 0.000
```

Record 11
# CsBiTe2

A geometry-optimized CsBiTe2 structure (PBE, Alexandria).

Values from the calculation:
M_tot = 0.0 μB per formula unit
DOS(E_F) = 0.0000 states/eV/atom
space-group type = P-3m1 (164)
total energy = -13.48 eV/cell

```
CsBiTe2
1.0
-3.093 -1.721 3.022
1.255 -3.379 2.944
2.476 6.207 6.070
Te Cs Bi
2 1 1
Cartesian
1.099 0.936 8.233
0.186 -1.188 2.503
-1.530 0.702 5.407
-0.294 3.807 8.442
```

Record 12
# Cs3BiTe3

A geometry-optimized Cs3BiTe3 structure (PBE, Alexandria).

Values from the calculation:
M_tot = 0.0 μB per formula unit
space-group type = C2/m (12)
total energy = -43.25 eV/cell

```
Cs3BiTe3
1.0
-2.378 -3.374 8.530
-0.825 -6.386 -6.953
9.360 -1.454 1.222
Bi Te Cs
2 6 6
Cartesian
5.467 -9.139 2.326
0.689 -2.075 0.473
1.901 -3.926 -1.478
4.256 -7.288 4.277
4.721 -8.192 -0.365
7.153 -1.887 1.085
-0.997 -9.327 1.714
1.435 -3.022 3.164
4.714 -4.619 1.371
3.584 -6.587 -3.640
2.573 -4.627 6.439
-1.185 -5.689 -3.368
-2.019 -4.071 4.946
1.442 -6.595 1.428
```

Record 13
# CsBiTe2

A geometry-optimized CsBiTe2 structure (PBE, Alexandria).

Values from the calculation:
M_tot = 0.0 μB per formula unit
DOS(E_F) = 0.4056 states/eV/atom
space-group type = Cmcm (63)
total energy = -22.77 eV/cell

```
CsBiTe2
1.0
8.511 8.630 0.335
-10.973 -4.997 -1.286
-1.096 0.846 6.070
Te Bi Cs
4 2 2
Cartesian
4.601 6.299 1.550
-7.112 -1.893 0.575
3.554 6.373 4.543
-8.160 -1.820 3.569
-3.446 0.671 0.880
-0.112 3.809 4.238
6.495 8.429 4.788
-10.053 -3.950 0.331
```

Record 14
# CsBiTe2

A geometry-optimized CsBiTe2 structure (PBE, Alexandria).

Values from the calculation:
M_tot = 0.0 μB per formula unit
DOS(E_F) = 0.0000 states/eV/atom
space-group type = Cc (9)
total energy = -26.55 eV/cell

```
CsBiTe2
1.0
-10.030 0.351 14.049
-1.433 -5.470 5.037
6.890 -3.001 -0.929
Te Cs Bi
4 2 2
Cartesian
-2.654 -4.380 11.328
-2.717 -4.367 6.596
-6.052 -5.797 15.287
1.311 -1.924 3.915
1.005 -5.159 6.031
-2.642 -7.108 14.086
-1.416 -0.837 3.764
-5.069 -2.776 11.814
```

Record 15
# Cs3BiTe3

A geometry-optimized Cs3BiTe3 structure (PBE, Alexandria).

Values from the calculation:
M_tot = 0.0 μB per formula unit
space-group type = Cmce (64)
total energy = -86.24 eV/cell

```
Cs3BiTe3
1.0
-0.418 -4.804 -6.761
10.378 -2.839 6.475
-7.992 -10.718 8.110
Cs Te Bi
12 12 4
Cartesian
3.319 -10.527 0.498
-0.330 -11.904 10.156
-3.470 -12.796 5.883
-5.307 -7.829 4.179
2.298 -6.456 -2.331
-7.031 -12.262 2.336
-3.103 -7.692 -2.830
-1.380 -3.260 -0.987
5.437 -5.565 1.941
0.598 -6.615 2.986
-1.352 -7.834 7.327
1.369 -11.746 4.838
-0.229 -14.532 7.160
-7.293 -10.704 5.835
-0.122 -9.059 -0.576
-5.087 -9.867 0.004
-3.324 -5.654 1.346
6.137 -3.350 5.180
2.089 -9.302 8.400
3.818 -8.580 3.940
2.197 -3.829 0.664
-1.118 -4.817 -4.486
-4.170 -15.011 2.644
-1.851 -9.780 3.885
4.427 -9.700 6.618
-2.460 -8.660 1.206
8.214 -6.743 -0.817
1.746 -0.900 0.531
```

Record 16
# Cs2Bi4Te5

A geometry-optimized Cs2Bi4Te5 structure (PBE, Alexandria).

Values from the calculation:
M_tot = 0.0 μB per formula unit
DOS(E_F) = 0.1353 states/eV/atom
space-group type = C2/m (12)
total energy = -36.51 eV/cell

```
Cs2Bi4Te5
1.0
-7.644 2.064 -3.511
-3.278 -5.369 -6.700
-7.065 -0.682 4.297
Bi Te Cs
4 5 2
Cartesian
-13.427 -4.226 -5.300
-3.724 -1.804 -3.634
-4.560 0.239 -0.615
-14.263 -2.183 -2.281
-8.109 -1.128 1.205
-12.102 -0.050 -0.629
-5.172 -3.025 -1.202
-9.878 -2.859 -7.120
-5.885 -3.937 -5.286
-8.535 0.063 -2.747
-9.452 -4.050 -3.168
```

Record 17
# CsBiTe2

A geometry-optimized CsBiTe2 structure (PBE, Alexandria).

Values from the calculation:
M_tot = 0.0 μB per formula unit
DOS(E_F) = 0.0000 states/eV/atom
space-group type = Pna2_1 (33)
total energy = -53.07 eV/cell

```
CsBiTe2
1.0
7.631 0.000 0.000
0.000 13.942 0.000
0.000 0.000 7.510
Te Cs Bi
8 4 4
Cartesian
0.722 11.729 4.191
3.757 12.622 0.922
6.909 2.213 0.436
0.058 5.651 4.677
7.573 8.291 0.922
3.873 1.320 4.677
3.094 4.758 0.436
4.537 9.184 4.191
3.752 8.698 0.441
7.567 12.216 0.441
0.063 1.726 4.196
3.879 5.245 4.196
4.032 1.732 0.078
0.216 5.239 0.078
3.599 12.210 3.833
7.414 8.703 3.833
```

Record 18
# CsBi3Te

A geometry-optimized CsBi3Te structure (PBE, Alexandria).

Values from the calculation:
M_tot = 0.0 μB per formula unit
DOS(E_F) = 1.6233 states/eV/atom
space-group type = Pm-3m (221)
total energy = -8.34 eV/cell

```
CsBi3Te
1.0
-2.835 -5.461 -1.282
1.299 -2.036 5.803
-5.457 2.352 2.047
Cs Bi Te
1 3 1
Cartesian
0.000 0.000 0.000
0.649 -1.018 2.901
-2.729 1.176 1.023
-1.417 -2.731 -0.641
-3.497 -2.572 3.284
```

Record 19
# CsBi5Te8

A geometry-optimized CsBi5Te8 structure (PBE, Alexandria).

Values from the calculation:
M_tot = 0.0 μB per formula unit
space-group type = Cm (8)
total energy = -50.24 eV/cell

```
CsBi5Te8
1.0
4.406 0.000 -0.862
-0.522 10.699 -2.667
0.026 0.199 11.827
Te Bi Cs
8 5 1
Cartesian
0.477 5.443 2.437
1.465 9.101 7.492
3.433 5.456 5.860
-0.051 8.693 -0.262
2.445 1.795 0.807
2.948 9.160 3.377
0.962 1.738 4.921
3.962 2.203 8.562
2.936 3.757 3.319
1.523 0.462 7.788
0.974 7.142 4.978
2.387 10.436 0.511
-0.521 10.698 -2.666
1.967 5.549 10.058
```

Record 20
# CsBiTe2

A geometry-optimized CsBiTe2 structure (PBE, Alexandria).

Values from the calculation:
M_tot = 0.0 μB per formula unit
DOS(E_F) = 0.0000 states/eV/atom
space-group type = C2/c (15)
total energy = -106.33 eV/cell

```
CsBiTe2
1.0
24.165 0.000 -1.717
3.962 4.915 -6.604
-3.962 4.915 6.604
Te Bi Cs
16 8 8
Cartesian
5.640 2.166 -0.572
8.022 4.767 -3.731
10.293 2.262 -0.617
20.413 5.036 1.681
13.872 7.569 -1.099
4.060 4.981 2.873
11.872 5.036 2.348
16.143 5.063 2.015
18.525 7.665 -1.145
12.293 4.795 -4.065
6.443 7.081 -0.286
1.789 7.177 -0.241
20.104 4.850 -4.590
3.751 4.795 -3.397
17.722 2.750 -1.430
22.375 2.653 -1.476
10.079 2.706 -3.828
20.079 4.512 -1.379
14.086 7.124 2.112
7.997 0.403 -0.521
5.966 2.706 -3.634
16.168 9.428 -1.196
18.199 7.124 1.917
4.085 5.318 -0.338
7.957 3.864 2.168
24.001 5.966 -5.295
0.164 3.864 3.578
1.903 1.405 0.076
22.261 8.425 -1.792
10.179 6.321 -0.934
16.208 5.966 -3.884
13.986 3.510 -0.783
```

Record 21
# Cs5BiTe4

A geometry-optimized Cs5BiTe4 structure (PBE, Alexandria).

Values from the calculation:
M_tot = 0.0 μB per formula unit
space-group type = C2/m (12)
total energy = -28.01 eV/cell

```
Cs5BiTe4
1.0
-1.923 4.558 1.979
-6.030 0.632 -7.315
-3.130 -7.969 8.140
Te Cs Bi
4 5 1
Cartesian
-3.234 0.543 2.780
-9.783 -2.907 4.362
-1.300 0.128 -1.559
-7.849 -3.321 0.023
-6.874 -1.369 -3.527
-3.981 -1.687 0.016
-4.209 -1.410 6.330
-7.102 -1.092 2.787
-3.976 2.595 -2.668
-0.961 2.279 0.989
```